[1]
Mg4Pb5 | GGA-PBE | optimized geometry

```
data_Mg4Pb5
_chemical_formula_sum 'Mg8 Pb10'
_cell_length_a 10.402
_cell_length_b 10.402
_cell_length_c 4.567
_cell_angle_alpha 90.00
_cell_angle_beta 90.00
_cell_angle_gamma 90.00
_symmetry_space_group_name_H-M 'I 4/m m m'
_symmetry_Int_Tables_number 139
_symmetry_space_group_name_Hall '-I 4 2'
loop_
_atom_site_label
_atom_site_type_symbol
_atom_site_fract_x
_atom_site_fract_y
_atom_site_fract_z
_atom_site_occupancy
Mg1 Mg 0.167 0.167 0.000 1
Pb1 Pb 0.000 0.000 0.500 1
Pb2 Pb 0.000 0.325 0.500 1
```

Values from the calculation:
- magnetic moment (Bohr magnetons per cell) = 0.0
- energy relative to the lowest polymorph listed for this composition (meV per atom) = 11.1
- formation energy from the elements (eV per atom) = -0.01
- calculated total energy (eV per atom) = -2.78



[2]
Mg2Pb | GGA-PBE | optimized geometry

```
data_Mg2Pb
_chemical_formula_sum 'Mg16 Pb8'
_cell_length_a 4.534
_cell_length_b 4.534
_cell_length_c 29.126
_cell_angle_alpha 90.00
_cell_angle_beta 90.00
_cell_angle_gamma 90.00
_symmetry_space_group_name_H-M 'I 41/a m d'
_symmetry_Int_Tables_number 141
loop_
_symmetry_equiv_pos_as_xyz
'x,y,z'
'-x,-y,-z'
'-y+1/4,x+3/4,z+1/4'
'y+1/4,-x+3/4,-z+1/4'
'-x+1/2,-y,z+1/2'
'x+1/2,y,-z+1/2'
'y+1/4,-x+1/4,z+3/4'
'-y+1/4,x+1/4,-z+3/4'
'x,-y,-z'
'-x,y,z'
'-y+1/4,-x+1/4,-z+3/4'
'y+1/4,x+1/4,z+3/4'
'-x+1/2,y,-z+1/2'
'x+1/2,-y,z+1/2'
'y+1/4,x+3/4,-z+1/4'
'-y+1/4,-x+3/4,z+1/4'
'x+1/2,y+1/2,z+1/2'
'-x+1/2,-y+1/2,-z+1/2'
'-y+3/4,x+1/4,z+3/4'
'y+3/4,-x+1/4,-z+3/4'
'-x,-y+1/2,z'
'x,y+1/2,-z'
'y+3/4,-x+3/4,z+1/4'
'-y+3/4,x+3/4,-z+1/4'
'x+1/2,-y+1/2,-z+1/2'
'-x+1/2,y+1/2,z+1/2'
'-y+3/4,-x+3/4,-z+1/4'
'y+3/4,x+3/4,z+1/4'
'-x,y+1/2,-z'
'x,-y+1/2,z'
'y+3/4,x+1/4,-z+3/4'
'-y+3/4,-x+1/4,z+3/4'
loop_
_atom_site_label
_atom_site_type_symbol
_atom_site_fract_x
_atom_site_fract_y
_atom_site_fract_z
_atom_site_occupancy
Mg1 Mg 0.000 0.250 0.125 1
Mg2 Mg 0.000 0.250 0.292 1
Pb1 Pb 0.000 0.250 0.797 1
```

Values from the calculation:
- magnetic moment (Bohr magnetons per cell) = 0.0
- formation energy from the elements (eV per atom) = -0.05
- calculated total energy (eV per atom) = -2.35



[3]
Mg5Pb7 | GGA-PBE | optimized geometry

```
data_Mg5Pb7
_chemical_formula_sum 'Mg10 Pb14'
_cell_length_a 9.520
_cell_length_b 4.760
_cell_length_c 15.065
_cell_angle_alpha 90.00
_cell_angle_beta 99.32
_cell_angle_gamma 90.00
_symmetry_space_group_name_H-M 'C 1 2/m 1'
_symmetry_Int_Tables_number 12
_symmetry_space_group_name_Hall '-C 2y'
loop_
_atom_site_label
_atom_site_type_symbol
_atom_site_fract_x
_atom_site_fract_y
_atom_site_fract_z
_atom_site_occupancy
Mg1 Mg 0.000 0.000 0.000 1
Mg2 Mg 0.095 0.500 0.845 1
Mg3 Mg 0.167 0.000 0.437 1
Pb1 Pb 0.000 0.500 0.500 1
Pb2 Pb 0.105 0.000 0.226 1
Pb3 Pb 0.171 0.000 0.662 1
Pb4 Pb 0.202 0.500 0.074 1
```

Values from the calculation:
- magnetic moment (Bohr magnetons per cell) = 0.0
- energy relative to the lowest polymorph listed for this composition (meV per atom) = 5.8
- formation energy from the elements (eV per atom) = -0.01
- calculated total energy (eV per atom) = -2.83



[4]
MgPb2 | GGA-PBE | optimized geometry

```
data_MgPb2
_chemical_formula_sum 'Mg4 Pb8'
_cell_length_a 13.102
_cell_length_b 3.480
_cell_length_c 7.788
_cell_angle_alpha 90.00
_cell_angle_beta 106.64
_cell_angle_gamma 90.00
_symmetry_space_group_name_H-M 'C 1 2/m 1'
_symmetry_Int_Tables_number 12
_symmetry_space_group_name_Hall '-C 2y'
loop_
_atom_site_label
_atom_site_type_symbol
_atom_site_fract_x
_atom_site_fract_y
_atom_site_fract_z
_atom_site_occupancy
Mg1 Mg 0.154 0.000 0.039 1
Pb1 Pb 0.026 0.500 0.259 1
Pb2 Pb 0.184 0.000 0.644 1
```

Values from the calculation:
- magnetic moment (Bohr magnetons per cell) = 0.0
- energy relative to the lowest polymorph listed for this composition (meV per atom) = 24.5
- formation energy from the elements (eV per atom) = -0.01
- calculated total energy (eV per atom) = -3.01



[5]
Mg3Pb2 | GGA-PBE | optimized geometry

```
data_Mg3Pb2
_chemical_formula_sum 'Mg24 Pb16'
_cell_length_a 14.555
_cell_length_b 23.364
_cell_length_c 3.159
_cell_angle_alpha 90.00
_cell_angle_beta 90.00
_cell_angle_gamma 90.00
_symmetry_space_group_name_H-M 'F d d 2'
_symmetry_Int_Tables_number 43
_symmetry_space_group_name_Hall 'F 2 -2d'
loop_
_atom_site_label
_atom_site_type_symbol
_atom_site_fract_x
_atom_site_fract_y
_atom_site_fract_z
_atom_site_occupancy
Mg1 Mg 0.000 0.000 0.000 1
Mg2 Mg 0.067 0.205 0.774 1
Pb1 Pb 0.116 0.338 0.710 1
```

Values from the calculation:
- magnetic moment (Bohr magnetons per cell) = 0.0
- energy relative to the lowest polymorph listed for this composition (meV per atom) = 0.0
- formation energy from the elements (eV per atom) = 0.00
- calculated total energy (eV per atom) = -2.44



[6]
MgPb | GGA-PBE | optimized geometry

```
data_MgPb
_chemical_formula_sum 'Mg2 Pb2'
_cell_length_a 3.464
_cell_length_b 3.464
_cell_length_c 8.956
_cell_angle_alpha 90.00
_cell_angle_beta 90.00
_cell_angle_gamma 90.00
_symmetry_space_group_name_H-M 'P 4/n m m'
_symmetry_Int_Tables_number 129
loop_
_symmetry_equiv_pos_as_xyz
'x,y,z'
'-x,-y,-z'
'-y+1/2,x,z'
'y+1/2,-x,-z'
'-x+1/2,-y+1/2,z'
'x+1/2,y+1/2,-z'
'y,-x+1/2,z'
'-y,x+1/2,-z'
'x+1/2,-y,-z'
'-x+1/2,y,z'
'-y,-x,-z'
'y,x,z'
'-x,y+1/2,-z'
'x,-y+1/2,z'
'y+1/2,x+1/2,-z'
'-y+1/2,-x+1/2,z'
loop_
_atom_site_label
_atom_site_type_symbol
_atom_site_fract_x
_atom_site_fract_y
_atom_site_fract_z
_atom_site_occupancy
Mg1 Mg 0.250 0.250 0.112 1
Pb1 Pb 0.250 0.250 0.646 1
```

Values from the calculation:
- magnetic moment (Bohr magnetons per cell) = 0.0
- formation energy from the elements (eV per atom) = -0.01
- calculated total energy (eV per atom) = -2.66



[7]
Mg5Pb | GGA-PBE | optimized geometry

```
data_Mg5Pb
_chemical_formula_sum 'Mg10 Pb2'
_cell_length_a 11.677
_cell_length_b 3.330
_cell_length_c 7.815
_cell_angle_alpha 90.00
_cell_angle_beta 107.19
_cell_angle_gamma 90.00
_symmetry_space_group_name_H-M 'C 1 m 1'
_symmetry_Int_Tables_number 8
_symmetry_space_group_name_Hall 'C -2y'
loop_
_atom_site_label
_atom_site_type_symbol
_atom_site_fract_x
_atom_site_fract_y
_atom_site_fract_z
_atom_site_occupancy
Mg1 Mg 0.000 0.000 0.000 1
Mg2 Mg 0.049 0.000 0.615 1
Mg3 Mg 0.221 0.500 0.937 1
Mg4 Mg 0.334 0.000 0.675 1
Mg5 Mg 0.386 0.000 0.273 1
Pb1 Pb 0.166 0.500 0.336 1
```

Values from the calculation:
- magnetic moment (Bohr magnetons per cell) = 0.0
- energy relative to the lowest polymorph listed for this composition (meV per atom) = 12.8
- formation energy from the elements (eV per atom) = -0.02
- calculated total energy (eV per atom) = -1.96



[8]
MgPb5 | GGA-PBE | optimized geometry

```
data_MgPb5
_chemical_formula_sum 'Mg3 Pb15'
_cell_length_a 5.9776
_cell_length_b 5.9776
_cell_length_c 17.4530
_cell_angle_alpha 90.00
_cell_angle_beta 90.00
_cell_angle_gamma 120.00
_symmetry_space_group_name_H-M 'R 3 2'
_symmetry_Int_Tables_number 155
_symmetry_space_group_name_Hall 'R 3 2"'
loop_
_atom_site_label
_atom_site_type_symbol
_atom_site_fract_x
_atom_site_fract_y
_atom_site_fract_z
_atom_site_occupancy
Mg1 Mg 0.0000 0.0000 0.0000 1
Pb1 Pb 0.0000 0.0000 0.3358 1
Pb2 Pb 0.0000 0.6639 0.5000 1
```

Values from the calculation:
- magnetic moment (Bohr magnetons per cell) = 0.0
- energy relative to the lowest polymorph listed for this composition (meV per atom) = 33.0
- formation energy from the elements (eV per atom) = 0.02
- calculated total energy (eV per atom) = -3.34